(1)
Below is a relaxed structure of CuAgTe2, with properties calculated at the PBE level.

```
CuAgTe2
1.0
-3.116 -2.115 3.375
-4.257 -2.249 -1.550
-0.432 -5.033 0.237
Te Ag Cu
2 1 1
Direct
0.750 0.750 0.750 Te
0.000 0.000 0.000 Te
0.500 0.500 0.500 Ag
0.250 0.250 0.250 Cu
```

## Properties
V: 91 Å³ per cell
Uncorrected formation energy: 0.505 eV/atom



(2)
Below is a relaxed structure of Cu2AgTe2, with properties calculated at the PBE level.

```
Cu2AgTe2
1.0
-4.631 -5.192 -3.377
3.446 -5.664 3.982
-2.371 0.405 2.628
Ag Te Cu
2 4 4
Direct
0.000 0.000 0.000 Ag
0.500 0.500 0.000 Ag
0.685 0.185 0.000 Te
0.815 0.685 0.000 Te
0.185 0.315 0.000 Te
0.315 0.815 0.000 Te
0.885 0.385 0.500 Cu
0.385 0.115 0.500 Cu
0.115 0.615 0.500 Cu
0.615 0.885 0.500 Cu
```

## Properties
V: 213 Å³ per cell
Relative energy among the computed polymorphs: 201 meV per atom
Uncorrected formation energy: 0.221 eV/atom



(3)
Below is a relaxed structure of CuAgTe4, with properties calculated at the PBE level.

```
CuAgTe4
1.0
0.000 4.472 4.472
4.472 0.000 4.472
4.472 4.472 0.000
Te Cu Ag
4 1 1
Direct
0.375 0.375 0.876 Te
0.375 0.375 0.375 Te
0.876 0.375 0.375 Te
0.375 0.876 0.375 Te
0.000 0.000 0.000 Cu
0.750 0.750 0.750 Ag
```

## Properties
V: 179 Å³ per cell
Uncorrected formation energy: 0.727 eV/atom



(4)
Below is a relaxed structure of Cu4AgTe, with properties calculated at the PBE level.

```
Cu4AgTe
1.0
-4.883 0.085 -1.350
-3.237 3.079 2.392
-1.895 4.041 -2.399
Cu Ag Te
4 1 1
Direct
0.374 0.374 0.374 Cu
0.374 0.374 0.877 Cu
0.877 0.374 0.374 Cu
0.374 0.877 0.374 Cu
0.000 0.000 0.000 Ag
0.750 0.750 0.750 Te
```

## Properties
V: 92 Å³ per cell
Uncorrected formation energy: 0.126 eV/atom



(5)
Below is a relaxed structure of CuAg4Te3, with properties calculated at the PBE level.

```
CuAg4Te3
1.0
-0.982 2.129 -7.241
5.588 -4.125 2.030
-5.637 -6.320 -1.094
Ag Cu Te
8 2 6
Direct
0.602 0.494 0.647 Ag
0.995 0.716 0.500 Ag
0.266 0.242 0.028 Ag
0.892 0.494 0.147 Ag
0.720 0.716 0.000 Ag
0.977 0.242 0.528 Ag
0.582 0.589 0.307 Ag
0.006 0.589 0.807 Ag
0.300 0.864 0.296 Cu
0.564 0.864 0.796 Cu
0.643 0.239 0.379 Te
0.596 0.239 0.879 Te
0.957 0.978 0.759 Te
0.339 0.657 0.534 Te
0.021 0.978 0.259 Te
0.319 0.657 0.034 Te
```

## Properties
V: 396 Å³ per cell
Uncorrected formation energy: -0.011 eV/atom



(6)
Below is a relaxed structure of Cu2AgTe, with properties calculated at the PBE level.

```
Cu2AgTe
1.0
-1.488 -0.354 -4.230
1.527 -0.627 -4.184
-0.518 -5.767 -0.253
Cu Ag Te
2 1 1
Direct
0.995 0.995 0.053 Cu
0.505 0.505 0.447 Cu
0.250 0.250 0.250 Ag
0.750 0.750 0.750 Te
```

## Properties
V: 73 Å³ per cell
Relative energy among the computed polymorphs: 92 meV per atom
Uncorrected formation energy: 0.244 eV/atom



(7)
Below is a relaxed structure of CuAgTe, with properties calculated at the PBE level.

```
CuAgTe
1.0
-2.488 -3.420 -1.778
0.598 -4.293 1.503
-3.255 -2.021 2.524
Te Ag Cu
1 1 1
Direct
0.000 0.000 0.000 Te
0.750 0.750 0.750 Ag
0.250 0.250 0.250 Cu
```

## Properties
V: 68 Å³ per cell
Relative energy among the computed polymorphs: 139 meV per atom
Uncorrected formation energy: 0.107 eV/atom



(8)
Below is a relaxed structure of CuAgTe2, with properties calculated at the PBE level.

```
CuAgTe2
1.0
3.898 0.000 0.000
0.000 5.986 0.000
0.000 0.000 4.075
Te Ag Cu
2 1 1
Direct
0.500 0.500 0.000 Te
0.000 0.000 0.000 Te
0.500 0.000 0.500 Ag
0.000 0.500 0.500 Cu
```

## Properties
V: 95 Å³ per cell
Uncorrected formation energy: 0.282 eV/atom



- The lowest uncorrected formation energy belongs to which entry?
  CuAg4Te3



What did the eighth record say?
Below is a relaxed structure of CuAgTe2, with properties calculated at the PBE level.

```
CuAgTe2
1.0
3.898 0.000 0.000
0.000 5.986 0.000
0.000 0.000 4.075
Te Ag Cu
2 1 1
Direct
0.500 0.500 0.000 Te
0.000 0.000 0.000 Te
0.500 0.000 0.500 Ag
0.000 0.500 0.500 Cu
```

## Properties
V: 95 Å³ per cell
Uncorrected formation energy: 0.282 eV/atom



- Among the records above, which one has the highest V?
  CuAg4Te3



- Among the records above, which one has the highest uncorrected formation energy?
  CuAgTe4